No. 1
CsLiC3 | PBE-GGA | relaxed Values from VASP.

The structure in Quantum ESPRESSO input format:
```
&SYSTEM
  ibrav = 0, nat = 5, ntyp = 3
/
ATOMIC_SPECIES
Cs 132.91 Cs.upf
C 12.01 C.upf
Li 6.94 Li.upf
CELL_PARAMETERS angstrom
5.0404 0.0000 0.0000
0.0000 5.0404 0.0000
0.0000 0.0000 5.0404
ATOMIC_POSITIONS crystal
Cs 0.0000 0.0000 0.0000
C 0.5000 0.0000 0.0000
C 0.0000 0.5000 0.0000
C 0.0000 0.0000 0.5000
Li 0.5000 0.5000 0.5000
```

Calculated values
Its crystal system is cubic. Its calculated formation energy is 19.3 eV/f.u. Its symmetry is Pm-3m (221).

=====

No. 2
NpTl2SnS5 | PBE-GGA | relaxed Values from VASP.

The structure in Quantum ESPRESSO input format:
```
&SYSTEM
  ibrav = 0, nat = 18, ntyp = 4
/
ATOMIC_SPECIES
S 32.06 S.upf
Np 237.00 Np.upf
Sn 118.71 Sn.upf
Tl 204.38 Tl.upf
CELL_PARAMETERS angstrom
-4.0214 -0.3056 0.3864
1.8250 -5.4103 -6.5259
1.7621 -11.0181 9.6274
ATOMIC_POSITIONS crystal
S 0.9540 0.9080 0.5417
S 0.6730 0.3460 0.9076
S 0.6346 0.2692 0.4939
Np 0.7862 0.5724 0.5222
Sn 0.4843 0.9686 0.4429
S 0.7142 0.4285 0.1375
Np 0.2138 0.4276 0.0222
Tl 0.8453 0.6907 0.8070
S 0.2858 0.5715 0.6375
Tl 0.8983 0.7967 0.1864
Tl 0.1017 0.2033 0.6864
S 0.5152 0.0304 0.2848
S 0.4848 0.9696 0.7848
S 0.3654 0.7308 0.9939
S 0.3270 0.6540 0.4076
Sn 0.5157 0.0314 0.9429
Tl 0.1547 0.3093 0.3070
S 0.0460 0.0920 0.0417
```

Calculated values
Its crystal system is orthorhombic. Its symmetry is Cmc2_1 (36). The value obtained for the raw total energy is -5.325 eV per atom.

=====

No. 3
Ac3Ag4Sn4 | PBE-GGA | relaxed Values from VASP.

The structure in Quantum ESPRESSO input format:
```
&SYSTEM
  ibrav = 0, nat = 11, ntyp = 3
/
ATOMIC_SPECIES
Ag 107.87 Ag.upf
Ac 227.00 Ac.upf
Sn 118.71 Sn.upf
CELL_PARAMETERS angstrom
-1.5767 0.8677 4.4935
-4.1199 -1.7628 -1.1052
7.1877 -12.1777 2.2664
ATOMIC_POSITIONS crystal
Ag 0.7480 0.7480 0.4959
Ag 0.2520 0.2520 0.5041
Ac 0.3467 0.8467 0.6935
Sn 0.5516 0.5516 0.1033
Sn 0.4484 0.4484 0.8967
Ac 0.0000 0.0000 0.0000
Ac 0.6533 0.1533 0.3065
Ag 0.0956 0.5956 0.1912
Ag 0.9044 0.4044 0.8088
Sn 0.8064 0.3064 0.6129
Sn 0.1936 0.6936 0.3871
```

Calculated values
Its crystal system is orthorhombic. The excess energy over the best structure of this formula in the dataset is 41 meV/atom. Its calculated formation energy is -5.6 eV/f.u. Its symmetry is Immm (71).

=====

No. 4
CeGdZrSc | PBE-GGA | relaxed Values from VASP.

The structure in Quantum ESPRESSO input format:
```
&SYSTEM
  ibrav = 0, nat = 4, ntyp = 4
/
ATOMIC_SPECIES
Gd 157.25 Gd.upf
Ce 140.12 Ce.upf
Sc 44.96 Sc.upf
Zr 91.22 Zr.upf
CELL_PARAMETERS angstrom
-1.1484 5.1946 -0.4434
-4.7017 1.5321 -2.0114
-3.6753 2.2025 3.1844
ATOMIC_POSITIONS crystal
Gd 0.7500 0.7500 0.7500
Ce 0.2500 0.2500 0.2500
Sc 0.0000 0.0000 0.0000
Zr 0.5000 0.5000 0.5000
```

Calculated values
Its crystal system is cubic. Its calculated formation energy is 0.7 eV/f.u. Its symmetry is F-43m (216).

=====

No. 5
Nd12Hg5Pt2 | PBE-GGA | relaxed Values from VASP.

The structure in Quantum ESPRESSO input format:
```
&SYSTEM
  ibrav = 0, nat = 19, ntyp = 3
/
ATOMIC_SPECIES
Pt 195.08 Pt.upf
Nd 144.24 Nd.upf
Hg 200.59 Hg.upf
CELL_PARAMETERS angstrom
-4.6590 5.5062 -3.4378
3.9472 -6.1140 -5.8565
-7.4808 -4.2202 3.3789
ATOMIC_POSITIONS crystal
Pt 0.8023 0.0000 0.0000
Nd 0.9187 0.3495 0.1779
Nd 0.4215 0.2436 0.5549
Nd 0.0988 0.1975 0.8391
Hg 0.7671 0.5342 0.4709
Hg 0.0000 0.0000 0.5000
Nd 0.5150 0.0300 0.8193
Nd 0.1779 0.7564 0.4451
Pt 0.1977 0.0000 0.0000
Hg 0.2953 0.5907 0.0973
Nd 0.5785 0.7564 0.4451
Nd 0.0813 0.6505 0.8221
Hg 0.2329 0.4658 0.5291
Nd 0.5692 0.6505 0.8221
Nd 0.8221 0.2436 0.5549
Nd 0.4850 0.9700 0.1807
Hg 0.7047 0.4093 0.9027
Nd 0.4308 0.3495 0.1779
Nd 0.9012 0.8025 0.1609
```

Calculated values
Its crystal system is monoclinic. Its calculated formation energy is -6.9 eV/f.u. Its symmetry is C2/m (12).

=====

No. 6
PaSe2I8 | PBE-GGA | relaxed Values from VASP.

The structure in Quantum ESPRESSO input format:
```
&SYSTEM
  ibrav = 0, nat = 11, ntyp = 3
/
ATOMIC_SPECIES
Se 78.96 Se.upf
I 126.90 I.upf
Pa 231.04 Pa.upf
CELL_PARAMETERS angstrom
-2.0895 -4.0340 7.3900
9.1546 0.7333 0.2540
3.9168 7.8705 2.6690
ATOMIC_POSITIONS crystal
Se 0.4834 0.8382 0.8382
I 0.2014 0.1776 0.7291
Se 0.5166 0.1618 0.1618
I 0.2014 0.7291 0.1776
I 0.7812 0.8102 0.8102
I 0.7986 0.8224 0.2709
I 0.2774 0.6902 0.6902
I 0.7986 0.2709 0.8224
I 0.2188 0.1898 0.1898
I 0.7226 0.3098 0.3098
Pa 0.0000 0.0000 0.0000
```

Calculated values
Its crystal system is monoclinic. The excess energy over the best structure of this formula in the dataset is 96 meV/atom. Its symmetry is C2/m (12).

=====

No. 7
Ca2NdEr | PBE-GGA | relaxed Values from VASP.

The structure in Quantum ESPRESSO input format:
```
&SYSTEM
  ibrav = 0, nat = 4, ntyp = 3
/
ATOMIC_SPECIES
Er 167.26 Er.upf
Nd 144.24 Nd.upf
Ca 40.08 Ca.upf
CELL_PARAMETERS angstrom
3.5999 -0.4972 0.6882
0.5499 6.1225 1.5850
-0.7540 4.7343 7.4024
ATOMIC_POSITIONS crystal
Er 0.6754 0.2738 0.1845
Nd 0.1757 0.7734 0.1848
Ca 0.6741 0.4407 0.6848
Ca 0.1738 0.9380 0.6846
```

Calculated values
Its crystal system is monoclinic. The excess energy over the best structure of this formula in the dataset is 0 meV/atom. Its calculated formation energy is 0.4 eV/f.u. Its symmetry is Pm (6).

=====

No. 8
Li2PaAgTe4 | PBE-GGA | relaxed Values from VASP.

The structure in Quantum ESPRESSO input format:
```
&SYSTEM
  ibrav = 0, nat = 8, ntyp = 4
/
ATOMIC_SPECIES
Te 127.60 Te.upf
Pa 231.04 Pa.upf
Ag 107.87 Ag.upf
Li 6.94 Li.upf
CELL_PARAMETERS angstrom
4.3888 0.0000 0.0000
0.0000 7.1176 0.1412
0.0000 -2.4741 6.9962
ATOMIC_POSITIONS crystal
Te 0.5000 0.2531 0.2541
Te 0.0000 0.7493 0.2537
Pa 0.5000 0.5000 0.0000
Te 0.0000 0.2507 0.7463
Te 0.5000 0.7469 0.7459
Ag 0.0000 0.0000 0.0000
Li 0.5000 0.0000 0.5000
Li 0.0000 0.5000 0.5000
```

Calculated values
Its crystal system is monoclinic. Its symmetry is P2/m (10). The value obtained for the raw total energy is -4.289 eV per atom.

=====

- Number 6 is which compound?
  PaSe2I8